BiTeMo2: single point on PBEsol structure, SCAN.

The density of states at the Fermi level comes out at 3.35 states/eV/f.u. The raw total energy comes out at -362.1 eV per cell. As for the symmetry: I-42d, No. 122. The calculation puts the uncorrected formation energy at 1141 meV/atom. The value obtained for the calculated volume is 233 Å³ per cell.

Cell lengths 6.273, 6.273, 7.395 Å; angles 115.09, 115.09, 90.00 degrees
Atoms (fractional coordinates):
Bi 0.000 0.000 0.000
Mo 0.625 0.611 0.750
Mo 0.389 0.875 0.250
Mo 0.125 0.139 0.750
Te 0.500 0.500 0.000
Te 0.750 0.250 0.500
Mo 0.861 0.375 0.250
Bi 0.250 0.750 0.500